Here is a relaxed TbGa3NiAu crystal from Alexandria. Energies are from PBE.

The calculation puts the volume at 18.314 Å³ per atom. Its density is 9.426 g/cm³. Its density of states at the Fermi level is 0.314 states/eV/atom.

Unit cell a=6.8429 b=6.8429 c=6.0471 alpha=90.00 beta=90.00 gamma=129.09
With the nearest neighbours (Å) after each atom.
Fractional coordinates of all 12 atoms:
1 Tb 0.2173 0.7827 0.7500  1 Ni 2.62
2 Tb 0.7827 0.2173 0.2500  1 Ni 2.62
3 Ga 0.2162 0.2162 0.0000  2 Ni 2.41, 1 Ga 2.54
4 Ga 0.2162 0.2162 0.5000  2 Ni 2.41, 1 Ga 2.54
5 Ga 0.3676 0.6324 0.2500  1 Ni 2.50, 1 Au 2.57, 4 Ga 2.78
6 Ga 0.6324 0.3676 0.7500  1 Ni 2.50, 1 Au 2.57, 4 Ga 2.78
7 Ga 0.7838 0.7838 0.0000  2 Ni 2.41, 1 Ga 2.54
8 Ga 0.7838 0.7838 0.5000  2 Ni 2.41, 1 Ga 2.54
9 Ni 0.4297 0.5703 0.7500  5 Ga 2.41-2.50, 1 Tb 2.62
10 Ni 0.5703 0.4297 0.2500  5 Ga 2.41-2.50, 1 Tb 2.62
11 Au 0.1600 0.8400 0.2500  5 Ga 2.57-2.80
12 Au 0.8400 0.1600 0.7500  5 Ga 2.57-2.80

=====

Here is a relaxed PuTaCuOs crystal from Alexandria. Energies are from PBE.

The calculation puts the volume at 17.723 Å³ per atom. Its density is 15.898 g/cm³. Its density of states at the Fermi level is 1.991 states/eV/atom.

Unit cell a=4.6455 b=4.6455 c=4.6455 alpha=60.00 beta=60.00 gamma=60.00
With the nearest neighbours (Å) after each atom.
Fractional coordinates of all 4 atoms:
1 Pu 0.0000 0.0000 0.0000  4 Os 2.84, 4 Cu 2.84
2 Ta 0.5000 0.5000 0.5000  4 Os 2.84, 4 Cu 2.84
3 Cu 0.2500 0.2500 0.2500  4 Ta 2.84, 4 Pu 2.84
4 Os 0.7500 0.7500 0.7500  4 Ta 2.84, 4 Pu 2.84

=====

Here is a relaxed SrPu2Sb2Au2 crystal from Alexandria. Energies are from PBE.

The calculation puts the volume at 27.186 Å³ per atom. Its density is 10.585 g/cm³. Its density of states at the Fermi level is 2.101 states/eV/atom.

Unit cell a=9.5713 b=9.5713 c=9.5713 alpha=29.68 beta=29.68 gamma=29.68
With the nearest neighbours (Å) after each atom.
Fractional coordinates of all 7 atoms:
1 Sr 0.0000 0.0000 0.0000  6 Sb 3.46
2 Pu 0.1443 0.1443 0.1443  3 Au 2.99, 3 Pu 3.08, 1 Sb 3.19
3 Pu 0.8557 0.8557 0.8557  3 Au 2.99, 3 Pu 3.08, 1 Sb 3.19
4 Sb 0.2608 0.2608 0.2608  3 Au 3.00, 1 Pu 3.19
5 Sb 0.7392 0.7392 0.7392  3 Au 3.00, 1 Pu 3.19
6 Au 0.4420 0.4420 0.4420  3 Pu 2.99, 3 Sb 3.00, 1 Au 3.18
7 Au 0.5580 0.5580 0.5580  3 Pu 2.99, 3 Sb 3.00, 1 Au 3.18

=====

Here is a relaxed Ba3Rh crystal from Alexandria. Energies are from PBE.

The calculation puts the volume at 48.806 Å³ per atom. Its density is 4.380 g/cm³. Its density of states at the Fermi level is 0.795 states/eV/atom.

Unit cell a=8.4579 b=11.8176 c=7.8126 alpha=90.00 beta=90.00 gamma=90.00
With the nearest neighbours (Å) after each atom.
Fractional coordinates of all 16 atoms:
1 Ba 0.0507 0.2500 0.1417  2 Rh 3.18
2 Ba 0.1868 0.0681 0.6748  2 Rh 3.09-3.10
3 Ba 0.1868 0.4319 0.6748  2 Rh 3.09-3.10
4 Ba 0.3132 0.5681 0.1748  2 Rh 3.09-3.10
5 Ba 0.3132 0.9319 0.1748  2 Rh 3.09-3.10
6 Ba 0.4493 0.7500 0.6417  2 Rh 3.18
7 Ba 0.5507 0.2500 0.3583  2 Rh 3.18
8 Ba 0.6868 0.0681 0.8252  2 Rh 3.09-3.10
9 Ba 0.6868 0.4319 0.8252  2 Rh 3.09-3.10
10 Ba 0.8132 0.5681 0.3252  2 Rh 3.09-3.10
11 Ba 0.8132 0.9319 0.3252  2 Rh 3.09-3.10
12 Ba 0.9493 0.7500 0.8583  2 Rh 3.18
13 Rh 0.0000 0.0000 0.0000  6 Ba 3.09-3.18
14 Rh 0.0000 0.5000 0.0000  6 Ba 3.09-3.18
15 Rh 0.5000 0.0000 0.5000  6 Ba 3.09-3.18
16 Rh 0.5000 0.5000 0.5000  6 Ba 3.09-3.18

=====

Here is a relaxed AsSeO crystal from Alexandria. Energies are from PBE.

The calculation puts the volume at 26.844 Å³ per atom. Its density is 3.503 g/cm³. Its density of states at the Fermi level is 0.355 states/eV/atom.

Unit cell a=8.9015 b=8.9015 c=6.7078 alpha=106.82 beta=106.82 gamma=18.48
With the nearest neighbours (Å) after each atom.
Fractional coordinates of all 6 atoms:
1 As 0.1564 0.1564 0.3197  2 O 1.85
2 As 0.8436 0.8436 0.6803  2 O 1.85
3 Se 0.0910 0.0910 0.5943  1 As 2.44
4 Se 0.9090 0.9090 0.4057  1 As 2.44
5 O 0.3956 0.3956 0.8358  2 As 1.85
6 O 0.6044 0.6044 0.1642  2 As 1.85

=====

Here is a relaxed ErLuCdIr crystal from Alexandria. Energies are from PBE.

The calculation puts the volume at 21.578 Å³ per atom. Its density is 12.445 g/cm³. Its density of states at the Fermi level is 0.567 states/eV/atom.

Unit cell a=4.9606 b=4.9606 c=4.9606 alpha=60.00 beta=60.00 gamma=60.00
With the nearest neighbours (Å) after each atom.
Fractional coordinates of all 4 atoms:
1 Er 0.0000 0.0000 0.0000  4 Ir 3.04, 4 Cd 3.04
2 Lu 0.5000 0.5000 0.5000  4 Ir 3.04, 4 Cd 3.04
3 Cd 0.2500 0.2500 0.2500  4 Er 3.04, 4 Lu 3.04
4 Ir 0.7500 0.7500 0.7500  4 Er 3.04, 4 Lu 3.04

=====

Number 1: total energy -50.0 eV per cell. Number 2: total energy -40.9 eV per cell. Number 3: total energy -49.2 eV per cell. Number 4: total energy -54.7 eV per cell. Number 5: total energy -28.8 eV per cell. Number 6: total energy -21.2 eV per cell.